A plane-wave DFT calculation with PBE was carried out for a relaxed La4AlBr5 crystal.

```
10
Lattice="4.249 0.000 -1.060 -0.461 7.640 -1.847 0.267 0.165 10.118" Properties=species:S:1:pos:R:3 pbc="T T T"
Al 2.125 0.000 -0.530
Br 0.868 0.846 3.479
Br 3.188 6.958 3.732
Br 3.486 3.345 4.928
Br 0.570 4.459 2.284
Br 1.894 3.820 -1.453
La 1.444 5.545 5.790
La -0.076 6.248 -0.305
La 4.132 1.557 7.516
La 2.611 2.259 1.421
```

Computed properties:
Its space group is C2/m (12). The calculation puts the total moment at 0.00 μB per cell. The value obtained for the volume is 33.20 Å³/atom. The calculation puts the energy relative to the lowest polymorph listed for this composition at 54 meV per atom. The calculation puts the raw formation energy at -1374.0 meV per atom.